First-principles (PBE) data for Cd2SnCl after structural relaxation, as listed in Alexandria via LeMat-Bulk.

The structure in CIF format:
```
data_Cd2SnCl
_chemical_formula_sum 'Cd2 Sn1 Cl1'
_cell_length_a 8.315
_cell_length_b 8.315
_cell_length_c 8.315
_cell_angle_alpha 27.60
_cell_angle_beta 27.60
_cell_angle_gamma 27.60
_symmetry_space_group_name_H-M 'P 1'
_symmetry_Int_Tables_number 1
_symmetry_space_group_name_Hall 'P 1'
loop_
_atom_site_label
_atom_site_fract_x
_atom_site_fract_y
_atom_site_fract_z
Cd1 0.000 0.000 0.000
Cd2 0.168 0.168 0.168
Sn1 0.584 0.584 0.584
Cl1 0.412 0.412 0.412
```

Computed properties:
energy above the most stable polymorph in this dataset: 1.9 kJ/mol of atoms
formation energy without anion corrections: -0.22 eV per atom

=====

First-principles (PBE) data for CeGa2Cu2 after structural relaxation, as listed in Alexandria via LeMat-Bulk.

The structure in CIF format:
```
data_CeGa2Cu2
_chemical_formula_sum 'Ce2 Ga4 Cu4'
_cell_length_a 4.233
_cell_length_b 4.233
_cell_length_c 9.953
_cell_angle_alpha 90.00
_cell_angle_beta 90.00
_cell_angle_gamma 90.00
_symmetry_space_group_name_H-M 'P 1'
_symmetry_Int_Tables_number 1
_symmetry_space_group_name_Hall 'P 1'
loop_
_atom_site_label
_atom_site_fract_x
_atom_site_fract_y
_atom_site_fract_z
Ce1 0.250 0.250 0.245
Ce2 0.750 0.750 0.755
Ga1 0.250 0.250 0.871
Ga2 0.250 0.750 0.500
Ga3 0.750 0.250 0.500
Ga4 0.750 0.750 0.129
Cu1 0.250 0.250 0.631
Cu2 0.250 0.750 0.000
Cu3 0.750 0.250 0.000
Cu4 0.750 0.750 0.369
```

Computed properties:
energy relative to the elements: -0.395 eV per atom

=====

First-principles (PBE) data for Sr2SbPt after structural relaxation, as listed in Alexandria via LeMat-Bulk.

The structure in CIF format:
```
data_Sr2SbPt
_chemical_formula_sum 'Sr4 Sb2 Pt2'
_cell_length_a 6.291
_cell_length_b 4.647
_cell_length_c 8.902
_cell_angle_alpha 90.00
_cell_angle_beta 108.45
_cell_angle_gamma 90.00
_symmetry_space_group_name_H-M 'P 1'
_symmetry_Int_Tables_number 1
_symmetry_space_group_name_Hall 'P 1'
loop_
_atom_site_label
_atom_site_fract_x
_atom_site_fract_y
_atom_site_fract_z
Sr1 0.188 0.250 0.415
Sr2 0.271 0.750 0.060
Sr3 0.729 0.250 0.940
Sr4 0.812 0.750 0.585
Sb1 0.361 0.750 0.711
Sb2 0.639 0.250 0.289
Pt1 0.171 0.250 0.780
Pt2 0.829 0.750 0.220
```

Computed properties:
formation energy without anion corrections: -0.87 eV per atom

=====

First-principles (PBE) data for LiAlAg2 after structural relaxation, as listed in Alexandria via LeMat-Bulk.

The structure in CIF format:
```
data_LiAlAg2
_chemical_formula_sum 'Li2 Al2 Ag4'
_cell_length_a 9.648
_cell_length_b 9.648
_cell_length_c 9.648
_cell_angle_alpha 156.04
_cell_angle_beta 156.04
_cell_angle_gamma 34.14
_symmetry_space_group_name_H-M 'P 1'
_symmetry_Int_Tables_number 1
_symmetry_space_group_name_Hall 'P 1'
loop_
_atom_site_label
_atom_site_fract_x
_atom_site_fract_y
_atom_site_fract_z
Li1 0.000 0.000 0.000
Li2 0.750 0.250 0.500
Al1 0.250 0.750 0.500
Al2 0.500 0.500 0.000
Ag1 0.128 0.625 0.003
Ag2 0.375 0.378 0.503
Ag3 0.622 0.125 0.997
Ag4 0.875 0.872 0.497
```

Computed properties:
energy relative to the elements: 0.095 eV per atom

=====

First-principles (PBE) data for ZnCoW2 after structural relaxation, as listed in Alexandria via LeMat-Bulk.

The structure in CIF format:
```
data_ZnCoW2
_chemical_formula_sum 'Zn1 Co1 W2'
_cell_length_a 2.696
_cell_length_b 2.696
_cell_length_c 7.785
_cell_angle_alpha 90.00
_cell_angle_beta 90.00
_cell_angle_gamma 90.00
_symmetry_space_group_name_H-M 'P 1'
_symmetry_Int_Tables_number 1
_symmetry_space_group_name_Hall 'P 1'
loop_
_atom_site_label
_atom_site_fract_x
_atom_site_fract_y
_atom_site_fract_z
Zn1 0.000 0.000 0.000
Co1 0.000 0.000 0.500
W1 0.500 0.500 0.267
W2 0.500 0.500 0.733
```

Computed properties:
energy relative to the elements: 0.187 eV per atom

=====

First-principles (PBE) data for Tc3NiSe after structural relaxation, as listed in Alexandria via LeMat-Bulk.

The structure in CIF format:
```
data_Tc3NiSe
_chemical_formula_sum 'Tc3 Ni1 Se1'
_cell_length_a 4.488
_cell_length_b 4.488
_cell_length_c 4.488
_cell_angle_alpha 90.00
_cell_angle_beta 90.00
_cell_angle_gamma 90.00
_symmetry_space_group_name_H-M 'P 1'
_symmetry_Int_Tables_number 1
_symmetry_space_group_name_Hall 'P 1'
loop_
_atom_site_label
_atom_site_fract_x
_atom_site_fract_y
_atom_site_fract_z
Tc1 0.000 0.000 0.500
Tc2 0.000 0.500 0.000
Tc3 0.500 0.000 0.000
Ni1 0.500 0.500 0.500
Se1 0.000 0.000 0.000
```

Computed properties:
energy above the most stable polymorph in this dataset: 0.0 kJ/mol of atoms
formation energy without anion corrections: 1.36 eV per atom

=====

First-principles (PBE) data for Y2ScSn2 after structural relaxation, as listed in Alexandria via LeMat-Bulk.

The structure in CIF format:
```
data_Y2ScSn2
_chemical_formula_sum 'Y4 Sc2 Sn4'
_cell_length_a 9.034
_cell_length_b 9.034
_cell_length_c 6.405
_cell_angle_alpha 90.00
_cell_angle_beta 90.00
_cell_angle_gamma 148.35
_symmetry_space_group_name_H-M 'P 1'
_symmetry_Int_Tables_number 1
_symmetry_space_group_name_Hall 'P 1'
loop_
_atom_site_label
_atom_site_fract_x
_atom_site_fract_y
_atom_site_fract_z
Y1 0.000 0.000 0.000
Y2 0.000 0.000 0.500
Y3 0.195 0.805 0.748
Y4 0.805 0.195 0.248
Sc1 0.399 0.601 0.751
Sc2 0.601 0.399 0.251
Sn1 0.183 0.817 0.248
Sn2 0.424 0.576 0.250
Sn3 0.576 0.424 0.750
Sn4 0.817 0.183 0.748
```

Computed properties:
energy relative to the elements: -0.647 eV per atom
energy above the most stable polymorph in this dataset: 5.8 kJ/mol of atoms

=====

First-principles (PBE) data for RbSc2Br after structural relaxation, as listed in Alexandria via LeMat-Bulk.

The structure in CIF format:
```
data_RbSc2Br
_chemical_formula_sum 'Rb1 Sc2 Br1'
_cell_length_a 11.455
_cell_length_b 11.455
_cell_length_c 11.455
_cell_angle_alpha 17.58
_cell_angle_beta 17.58
_cell_angle_gamma 17.58
_symmetry_space_group_name_H-M 'P 1'
_symmetry_Int_Tables_number 1
_symmetry_space_group_name_Hall 'P 1'
loop_
_atom_site_label
_atom_site_fract_x
_atom_site_fract_y
_atom_site_fract_z
Rb1 0.000 0.000 0.000
Sc1 0.103 0.103 0.103
Sc2 0.897 0.897 0.897
Br1 0.500 0.500 0.500
```

Computed properties:
energy above the most stable polymorph in this dataset: 0.0 kJ/mol of atoms
formation energy without anion corrections: 0.04 eV per atom

=====

First-principles (PBE) data for Cs2Dy2PtO6 after structural relaxation, as listed in Alexandria via LeMat-Bulk.

The structure in CIF format:
```
data_Cs2Dy2PtO6
_chemical_formula_sum 'Cs2 Dy2 Pt1 O6'
_cell_length_a 5.864
_cell_length_b 5.864
_cell_length_c 7.197
_cell_angle_alpha 97.31
_cell_angle_beta 97.31
_cell_angle_gamma 119.55
_symmetry_space_group_name_H-M 'P 1'
_symmetry_Int_Tables_number 1
_symmetry_space_group_name_Hall 'P 1'
loop_
_atom_site_label
_atom_site_fract_x
_atom_site_fract_y
_atom_site_fract_z
Cs1 0.166 0.834 0.000
Cs2 0.834 0.166 0.000
Dy1 0.335 0.665 0.500
Dy2 0.665 0.335 0.500
Pt1 0.000 0.000 0.500
O1 0.047 0.359 0.655
O2 0.259 0.259 0.343
O3 0.359 0.047 0.655
O4 0.641 0.953 0.345
O5 0.741 0.741 0.657
O6 0.953 0.641 0.345
```

Computed properties:
formation energy without anion corrections: -2.08 eV per atom

=====

First-principles (PBE) data for ScNb2Pt after structural relaxation, as listed in Alexandria via LeMat-Bulk.

The structure in CIF format:
```
data_ScNb2Pt
_chemical_formula_sum 'Sc1 Nb2 Pt1'
_cell_length_a 4.640
_cell_length_b 4.640
_cell_length_c 4.640
_cell_angle_alpha 60.00
_cell_angle_beta 60.00
_cell_angle_gamma 60.00
_symmetry_space_group_name_H-M 'P 1'
_symmetry_Int_Tables_number 1
_symmetry_space_group_name_Hall 'P 1'
loop_
_atom_site_label
_atom_site_fract_x
_atom_site_fract_y
_atom_site_fract_z
Sc1 0.000 0.000 0.000
Nb1 0.250 0.250 0.250
Nb2 0.750 0.750 0.750
Pt1 0.500 0.500 0.500
```

Computed properties:
energy relative to the elements: -0.119 eV per atom
energy above the most stable polymorph in this dataset: 0.0 kJ/mol of atoms

=====

First-principles (PBE) data for PaZnTe after structural relaxation, as listed in Alexandria via LeMat-Bulk.

The structure in CIF format:
```
data_PaZnTe
_chemical_formula_sum 'Pa2 Zn2 Te2'
_cell_length_a 9.727
_cell_length_b 9.727
_cell_length_c 3.905
_cell_angle_alpha 90.00
_cell_angle_beta 90.00
_cell_angle_gamma 150.92
_symmetry_space_group_name_H-M 'P 1'
_symmetry_Int_Tables_number 1
_symmetry_space_group_name_Hall 'P 1'
loop_
_atom_site_label
_atom_site_fract_x
_atom_site_fract_y
_atom_site_fract_z
Pa1 0.055 0.945 0.750
Pa2 0.945 0.055 0.250
Zn1 0.454 0.546 0.750
Zn2 0.546 0.454 0.250
Te1 0.174 0.826 0.250
Te2 0.826 0.174 0.750
```

Computed properties:
formation energy without anion corrections: -0.19 eV per atom

=====

First-principles (PBE) data for LiTbYHo after structural relaxation, as listed in Alexandria via LeMat-Bulk.

The structure in CIF format:
```
data_LiTbYHo
_chemical_formula_sum 'Li1 Tb1 Y1 Ho1'
_cell_length_a 5.479
_cell_length_b 5.479
_cell_length_c 5.479
_cell_angle_alpha 60.00
_cell_angle_beta 60.00
_cell_angle_gamma 60.00
_symmetry_space_group_name_H-M 'P 1'
_symmetry_Int_Tables_number 1
_symmetry_space_group_name_Hall 'P 1'
loop_
_atom_site_label
_atom_site_fract_x
_atom_site_fract_y
_atom_site_fract_z
Li1 0.000 0.000 0.000
Tb1 0.250 0.250 0.250
Y1 0.750 0.750 0.750
Ho1 0.500 0.500 0.500
```

Computed properties:
energy relative to the elements: 0.174 eV per atom

=====

Density of states at the Fermi level, respectively: 1.56 13.08 5.04 3.03 3.79 4.80 7.74 3.46 0.00 4.48 5.56 3.22 states/eV per cell.